1.
4
Lattice="3.816 0.000 0.000 0.000 3.816 0.000 0.000 0.000 7.104" Properties=species:S:1:pos:R:3 comment="BaYOs2, relaxed, DFT PBE" magmom_total_mub_per_fu=2.43 formation_enthalpy_0k_ev_per_atom=0.648 e_above_lowest_polymorph_mev_per_atom=544 dos_at_fermi_per_ev_cell=4.701 final_energy_ha_per_atom=-0.25958 pbc="T T T"
Os 0.000 0.000 0.540
Os 0.000 0.000 3.012
Ba 1.908 1.908 5.328
Y 1.908 1.908 1.776



2.
4
Lattice="-1.674 0.700 -3.139 -3.337 -1.284 -0.600 -6.225 9.499 3.345" Properties=species:S:1:pos:R:3 comment="AcEr2Pu, relaxed, DFT PBE" magmom_total_mub_per_fu=6.23 formation_enthalpy_0k_ev_per_atom=0.168 e_above_lowest_polymorph_mev_per_atom=22 dos_at_fermi_per_ev_cell=10.931 final_energy_ha_per_atom=-0.24710 pbc="T T T"
Ac -5.610 4.439 -0.206
Er -2.740 2.081 -0.169
Er -5.158 7.227 2.269
Pu -3.348 -0.374 -2.486



3.
18
Lattice="-4.929 -2.348 3.756 5.370 -2.313 5.602 1.782 8.472 1.790" Properties=species:S:1:pos:R:3 comment="Li3Nd2Tl4, relaxed, DFT PBE" magmom_total_mub_per_fu=0.00 formation_enthalpy_0k_ev_per_atom=-0.279 e_above_lowest_polymorph_mev_per_atom=8 dos_at_fermi_per_ev_cell=11.328 final_energy_ha_per_atom=-0.11128 pbc="T T T"
Li 0.220 -2.331 4.679
Tl 0.045 -0.470 2.689
Li -0.198 2.132 3.997
Tl 2.178 4.280 8.458
Tl 4.973 0.292 6.710
Li 4.886 2.852 5.273
Li 2.421 1.678 7.151
Tl -2.419 -1.644 4.567
Nd 2.328 -1.625 7.887
Li 0.000 0.000 0.000
Li -2.663 0.958 5.874
Nd -0.105 5.435 3.261
Tl 4.643 5.454 6.580
Nd 2.948 0.344 4.084
Nd -0.725 3.466 7.063
Tl 0.143 0.137 6.120
Tl -2.750 3.518 4.437
Tl 2.080 3.673 5.027



4.
4
Lattice="-2.041 -4.463 1.261 0.705 -1.780 4.691 -1.812 3.795 -2.826" Properties=species:S:1:pos:R:3 comment="Fe2OsSe, relaxed, DFT PBE" magmom_total_mub_per_fu=4.96 e_form_raw_ev_per_atom=0.441 dos_at_fermi_per_ev_cell=4.445 final_energy_ha_per_atom=-0.27448 pbc="T T T"
Fe -0.020 -0.093 0.089
Se -0.886 -0.549 2.416
Os -0.645 -3.014 2.873
Fe -2.264 -1.913 0.722



5.
6
Lattice="5.297 0.000 0.000 2.649 4.587 0.000 2.649 1.529 4.325" Properties=species:S:1:pos:R:3 comment="TmURu4, relaxed, DFT PBE" magmom_total_mub_per_fu=1.68 formation_enthalpy_0k_ev_per_atom=-0.189 e_above_lowest_polymorph_mev_per_atom=0 dos_at_fermi_per_ev_cell=11.391 final_energy_ha_per_atom=-0.33073 pbc="T T T"
Ru 5.297 3.058 0.539
Ru 3.971 3.824 2.704
Ru 6.623 3.824 2.704
Tm 0.000 0.000 0.000
U 2.649 1.529 1.081
Ru 5.297 1.527 2.704



6.
8
Lattice="4.809 0.000 0.000 2.405 4.165 0.000 2.405 1.388 8.670" Properties=species:S:1:pos:R:3 comment="LiCePu2Ge4, relaxed, DFT PBE" magmom_total_mub_per_fu=11.17 formation_enthalpy_0k_ev_per_atom=-0.419 dos_at_fermi_per_ev_cell=16.922 final_energy_ha_per_atom=-0.26796 pbc="T T T"
Pu 2.405 1.388 2.429
Ge 4.809 2.776 1.229
Ce 0.000 0.000 0.000
Ge 4.809 2.776 7.441
Ge 2.405 1.388 5.327
Pu 7.214 4.165 6.241
Li 4.809 2.776 4.335
Ge 7.214 4.165 3.343



7.
6
Lattice="3.734 0.000 0.000 0.000 2.004 -8.357 0.000 2.004 8.357" Properties=species:S:1:pos:R:3 comment="LiPdBr, relaxed, DFT PBE" magmom_total_mub_per_fu=0.00 e_form_raw_ev_per_atom=-0.630 e_above_lowest_polymorph_mev_per_atom=10 dos_at_fermi_per_ev_cell=0.000 final_energy_ha_per_atom=-0.13068 pbc="T T T"
Li 1.867 2.004 3.786
Br 1.867 2.004 -2.771
Pd 1.867 2.004 -6.387
Pd 0.000 2.004 -4.540
Li 1.867 2.004 -0.025
Br 0.000 2.004 -8.250



8.
5
Lattice="5.336 0.000 0.000 0.000 5.336 0.000 0.000 0.000 5.336" Properties=species:S:1:pos:R:3 comment="InReCl3, relaxed, DFT PBE" magmom_total_mub_per_fu=5.87 e_form_raw_ev_per_atom=0.588 e_above_lowest_polymorph_mev_per_atom=607 dos_at_fermi_per_ev_cell=1.534 final_energy_ha_per_atom=-0.13072 pbc="T T T"
Re 2.668 2.668 2.668
Cl 0.000 0.000 2.668
In 0.000 0.000 0.000
Cl 0.000 2.668 0.000
Cl 2.668 0.000 0.000